Pr2Ho5Er2 | PBE-GGA | relaxed

Properties
Spin magnetization: 0.0 μB per formula unit
Offset from the most stable computed form: 0.000 eV/atom
Energy of formation: 5.01 kcal/mol of atoms

a b c (Å): 11.8247 6.7022 10.0828
angles (deg): 109.41 125.90 90.00
Last column: nearest neighbours and their distance in Å.
Atoms (fractional coordinates):
Pr 0.0000 0.0109 0.0000  4 Ho 3.26-3.58, 2 Er 3.58
Pr 0.5000 0.5109 0.0000  4 Ho 3.26-3.58, 2 Er 3.58
Pr 0.2592 0.3543 0.5000  4 Ho 3.40-3.61, 2 Er 3.55, 2 Pr 3.78
Pr 0.7408 0.8543 0.5000  4 Ho 3.40-3.61, 2 Er 3.55, 2 Pr 3.78
Ho 0.2034 0.6526 0.8942  5 Ho 3.19-3.57, 1 Pr 3.26, 1 Er 3.33
Ho 0.7966 0.7584 0.1058  5 Ho 3.19-3.57, 1 Pr 3.26, 1 Er 3.33
Ho 0.1909 0.1526 0.8942  5 Ho 3.19-3.57, 1 Pr 3.26, 1 Er 3.33
Ho 0.8091 0.2584 0.1058  5 Ho 3.19-3.57, 1 Pr 3.26, 1 Er 3.33
Ho 0.3774 0.0394 0.2843  5 Ho 3.19-3.57, 1 Er 3.36, 1 Pr 3.41
Ho 0.6226 0.7551 0.7157  5 Ho 3.19-3.57, 1 Er 3.36, 1 Pr 3.41
Ho 0.4070 0.5394 0.2843  5 Ho 3.19-3.57, 1 Er 3.36, 1 Pr 3.41
Ho 0.5930 0.2551 0.7157  5 Ho 3.19-3.57, 1 Er 3.36, 1 Pr 3.41
Ho 0.0045 0.6506 0.5000  6 Ho 3.21-3.58, 1 Pr 3.40, 2 Er 3.56
Ho 0.9955 0.1506 0.5000  6 Ho 3.21-3.58, 1 Pr 3.40, 2 Er 3.56
Er 0.1226 0.6838 0.2531  4 Ho 3.33-3.64, 2 Pr 3.55-3.58, 1 Er 3.68
Er 0.8774 0.4308 0.7469  4 Ho 3.33-3.64, 2 Pr 3.55-3.58, 1 Er 3.68
Er 0.6305 0.1838 0.2531  4 Ho 3.33-3.64, 2 Pr 3.55-3.58, 1 Er 3.68
Er 0.3695 0.9308 0.7469  4 Ho 3.33-3.64, 2 Pr 3.55-3.58, 1 Er 3.68

=====

Ce8Pu2Sn3 | PBE-GGA | relaxed

Properties
Spin magnetization: 12.1 μB per formula unit
Energy of formation: -2.75 kcal/mol of atoms

a b c (Å): 6.5626 6.5626 10.6839
angles (deg): 72.11 72.11 60.00
Last column: nearest neighbours and their distance in Å.
Atoms (fractional coordinates):
Ce 0.6988 0.6988 0.9036  1 Pu 2.55
Ce 0.3012 0.3012 0.0964  1 Pu 2.55
Ce 0.2194 0.7305 0.3195  1 Pu 2.51
Ce 0.7305 0.2194 0.3195  1 Pu 2.51
Ce 0.7305 0.7305 0.3195  1 Pu 2.51
Ce 0.2695 0.7806 0.6805  1 Pu 2.51
Ce 0.7806 0.2695 0.6805  1 Pu 2.51
Ce 0.2695 0.2695 0.6805  1 Pu 2.51
Pu 0.6136 0.6136 0.1593  4 Ce 2.51-2.55
Pu 0.3864 0.3864 0.8407  4 Ce 2.51-2.55
Sn 0.0000 0.0000 0.0000  12 Ce 3.69-3.91, 6 Pu 4.11
Sn 0.8036 0.8036 0.5891  10 Ce 3.14-3.41
Sn 0.1964 0.1964 0.4109  10 Ce 3.14-3.41

=====

Li2TaBeOs | PBE-GGA | relaxed

Properties
Spin magnetization: 0.0 μB per formula unit
Energy of formation: 10.54 kcal/mol of atoms

a b c (Å): 3.9206 3.9206 4.3617
angles (deg): 90.00 90.00 90.00
Last column: nearest neighbours and their distance in Å.
Atoms (fractional coordinates):
Be 0.0000 0.0000 0.0000  4 Li 1.96, 2 Os 2.18
Li 0.0000 0.5000 0.0000  2 Be 1.96
Li 0.5000 0.0000 0.0000  2 Be 1.96
Os 0.0000 0.0000 0.5000  2 Be 2.18
Ta 0.5000 0.5000 0.5000  4 Os 2.77, 8 Li 2.93

=====

Y2MnGaN | PBE-GGA | relaxed

Properties
Spin magnetization: 0.1 μB per formula unit
Formation energy (no corrections): -772 meV per atom

a b c (Å): 4.9224 4.9224 3.6543
angles (deg): 90.00 90.00 90.00
Last column: nearest neighbours and their distance in Å.
Atoms (fractional coordinates):
Y 0.0000 0.5000 0.0000  2 N 2.46
Y 0.5000 0.0000 0.0000  2 N 2.46
Mn 0.0000 0.0000 0.5000  2 N 1.83
Ga 0.5000 0.5000 0.5000  8 Y 3.07
N 0.0000 0.0000 0.0000  2 Mn 1.83

=====

Table of E_tot (eV for the cell shown), in record order: -79.24 -89.69 -28.35 -37.31